# Mn2PdCl8 (PBE, optimized geometry)
# Formation energy from raw total energies in kcal/mol of atoms: -18.38
# Symmetry: C2/m
# Distance to the lowest polymorph of the same formula in meV per atom: 0.0
data_Mn2PdCl8
_cell_length_a 6.622
_cell_length_b 6.622
_cell_length_c 8.973
_cell_angle_alpha 102.83
_cell_angle_beta 102.83
_cell_angle_gamma 69.35
_space_group_name_H-M_alt 'P 1'
_space_group_IT_number 1
_space_group_name_Hall 'P 1'
loop_
_atom_site_label
_atom_site_type_symbol
_atom_site_fract_x
_atom_site_fract_y
_atom_site_fract_z
Mn1 Mn 0.107 0.107 0.383
Mn2 Mn 0.893 0.893 0.617
Pd1 Pd 0.000 0.000 0.000
Cl1 Cl 0.113 0.113 0.645
Cl2 Cl 0.135 0.701 0.816
Cl3 Cl 0.299 0.865 0.184
Cl4 Cl 0.314 0.314 0.446
Cl5 Cl 0.686 0.686 0.554
Cl6 Cl 0.701 0.135 0.816
Cl7 Cl 0.865 0.299 0.184
Cl8 Cl 0.887 0.887 0.355